This record from Alexandria via LeMat-Bulk describes a geometry-optimized FeGeO3 structure. The functional is PBE+U.

Geometry as POSCAR:
```
FeGeO3
1.0
3.798 0.000 0.000
0.000 3.798 0.000
0.000 0.000 3.798
Fe Ge O
1 1 3
direct
0.000 0.000 0.000
0.500 0.500 0.500
0.000 0.000 0.500
0.000 0.500 0.000
0.500 0.000 0.000
```

- total magnetic moment (μB/f.u.) = 4.04
- DFT total energy (eV per atom) = -5.787